(1)
A relaxed structure of Tl2SiRh. Source: the Alexandria database, functional PBE.

```
data_Tl2SiRh
_cell_length_a 4.3952
_cell_length_b 4.5692
_cell_length_c 8.2377
_cell_angle_alpha 90.00
_cell_angle_beta 90.00
_cell_angle_gamma 90.00
_symmetry_space_group_name_H-M 'C m m m'
_symmetry_Int_Tables_number 65
_symmetry_space_group_name_Hall '-C 2 2'
loop_
_atom_site_label
_atom_site_type_symbol
_atom_site_fract_x
_atom_site_fract_y
_atom_site_fract_z
_atom_site_occupancy
Tl1 Tl 0.0000 0.0000 0.2243 1
Si1 Si 0.0000 0.5000 0.5000 1
Rh1 Rh 0.0000 0.5000 0.0000 1
```

***

(2)
# TlSi2Rh, optimized geometry, DFT PBE
# energy above the most stable polymorph in this dataset	82	meV/atom
data_TlSi2Rh
_cell_length_a 8.4251
_cell_length_b 3.0600
_cell_length_c 6.5088
_cell_angle_alpha 90.00
_cell_angle_beta 107.65
_cell_angle_gamma 90.00
_symmetry_space_group_name_H-M 'C 1 m 1'
_symmetry_Int_Tables_number 8
_symmetry_space_group_name_Hall 'C -2y'
loop_
_atom_site_label
_atom_site_type_symbol
_atom_site_fract_x
_atom_site_fract_y
_atom_site_fract_z
_atom_site_occupancy
Tl1 Tl 0.0000 0.0000 0.0000 1
Si1 Si 0.1368 0.5000 0.5992 1
Si2 Si 0.3091 0.5000 0.2853 1
Rh1 Rh 0.3501 0.0000 0.5801 1

***

(3)
# TlSi2Rh, optimized geometry, DFT PBE
# energy above the most stable polymorph in this dataset	105	meV/atom
data_TlSi2Rh
_cell_length_a 3.6046
_cell_length_b 3.5049
_cell_length_c 6.2505
_cell_angle_alpha 90.00
_cell_angle_beta 106.28
_cell_angle_gamma 90.00
_symmetry_space_group_name_H-M 'P 1 m 1'
_symmetry_Int_Tables_number 6
_symmetry_space_group_name_Hall 'P -2y'
loop_
_atom_site_label
_atom_site_type_symbol
_atom_site_fract_x
_atom_site_fract_y
_atom_site_fract_z
_atom_site_occupancy
Tl1 Tl 0.0000 0.0000 0.0000 1
Si1 Si 0.2429 0.0000 0.4591 1
Si2 Si 0.7480 0.5000 0.4715 1
Rh1 Rh 0.3777 0.5000 0.7387 1

***

(4)
A relaxed structure of TlSiRh2. Source: the Alexandria database, functional PBE.

```
data_TlSiRh2
_cell_length_a 3.0426
_cell_length_b 3.1059
_cell_length_c 7.2506
_cell_angle_alpha 90.00
_cell_angle_beta 90.00
_cell_angle_gamma 90.00
_symmetry_space_group_name_H-M 'P m m 2'
_symmetry_Int_Tables_number 25
_symmetry_space_group_name_Hall 'P 2 -2'
loop_
_atom_site_label
_atom_site_type_symbol
_atom_site_fract_x
_atom_site_fract_y
_atom_site_fract_z
_atom_site_occupancy
Tl1 Tl 0.0000 0.0000 0.0000 1
Si1 Si 0.0000 0.5000 0.4869 1
Rh1 Rh 0.5000 0.0000 0.3406 1
Rh2 Rh 0.5000 0.5000 0.7324 1
```

***

(5)
A relaxed structure of Tl2SiRh. Source: the Alexandria database, functional PBE.

```
data_Tl2SiRh
_cell_length_a 6.9116
_cell_length_b 6.9116
_cell_length_c 6.9116
_cell_angle_alpha 90.00
_cell_angle_beta 90.00
_cell_angle_gamma 90.00
_symmetry_space_group_name_H-M 'F -4 3 m'
_symmetry_Int_Tables_number 216
_symmetry_space_group_name_Hall 'F -4 2 3'
loop_
_atom_site_label
_atom_site_type_symbol
_atom_site_fract_x
_atom_site_fract_y
_atom_site_fract_z
_atom_site_occupancy
Tl1 Tl 0.0000 0.0000 0.0000 1
Tl2 Tl 0.2500 0.2500 0.2500 1
Si1 Si 0.2500 0.2500 0.7500 1
Rh1 Rh 0.0000 0.0000 0.5000 1
```

***

(6)
A relaxed structure of Tl2SiRh. Source: the Alexandria database, functional PBE.

```
data_Tl2SiRh
_cell_length_a 9.8268
_cell_length_b 9.8268
_cell_length_c 4.5239
_cell_angle_alpha 90.00
_cell_angle_beta 90.00
_cell_angle_gamma 90.00
_symmetry_space_group_name_H-M 'I -4 2 d'
_symmetry_Int_Tables_number 122
_symmetry_space_group_name_Hall 'I -4 2bw'
loop_
_atom_site_label
_atom_site_type_symbol
_atom_site_fract_x
_atom_site_fract_y
_atom_site_fract_z
_atom_site_occupancy
Tl1 Tl 0.1112 0.2500 0.1250 1
Si1 Si 0.0000 0.0000 0.5000 1
Rh1 Rh 0.0000 0.0000 0.0000 1
```

***

(7)
# TlSi3Rh, optimized geometry, DFT PBE
# energy above the most stable polymorph in this dataset	0	meV/atom
data_TlSi3Rh
_cell_length_a 4.7197
_cell_length_b 4.7197
_cell_length_c 4.7197
_cell_angle_alpha 90.00
_cell_angle_beta 90.00
_cell_angle_gamma 90.00
_symmetry_space_group_name_H-M 'P m -3 m'
_symmetry_Int_Tables_number 221
_symmetry_space_group_name_Hall '-P 4 2 3'
loop_
_atom_site_label
_atom_site_type_symbol
_atom_site_fract_x
_atom_site_fract_y
_atom_site_fract_z
_atom_site_occupancy
Tl1 Tl 0.0000 0.0000 0.0000 1
Si1 Si 0.0000 0.5000 0.5000 1
Rh1 Rh 0.5000 0.5000 0.5000 1

***

(8)
A relaxed structure of TlSiRh4. Source: the Alexandria database, functional PBE.

```
data_TlSiRh4
_cell_length_a 7.3794
_cell_length_b 7.3794
_cell_length_c 7.3794
_cell_angle_alpha 90.00
_cell_angle_beta 90.00
_cell_angle_gamma 90.00
_symmetry_space_group_name_H-M 'F -4 3 m'
_symmetry_Int_Tables_number 216
_symmetry_space_group_name_Hall 'F -4 2 3'
loop_
_atom_site_label
_atom_site_type_symbol
_atom_site_fract_x
_atom_site_fract_y
_atom_site_fract_z
_atom_site_occupancy
Tl1 Tl 0.0000 0.0000 0.0000 1
Si1 Si 0.2500 0.2500 0.2500 1
Rh1 Rh 0.1246 0.1246 0.6246 1
```

***

(9)
A relaxed structure of TlSiRh2. Source: the Alexandria database, functional PBE.

```
data_TlSiRh2
_cell_length_a 2.9459
_cell_length_b 2.9459
_cell_length_c 7.2594
_cell_angle_alpha 90.00
_cell_angle_beta 90.00
_cell_angle_gamma 90.00
_symmetry_space_group_name_H-M 'P 4/m m m'
_symmetry_Int_Tables_number 123
_symmetry_space_group_name_Hall '-P 4 2'
loop_
_atom_site_label
_atom_site_type_symbol
_atom_site_fract_x
_atom_site_fract_y
_atom_site_fract_z
_atom_site_occupancy
Tl1 Tl 0.0000 0.0000 0.0000 1
Si1 Si 0.0000 0.0000 0.5000 1
Rh1 Rh 0.5000 0.5000 0.3056 1
```

***

(10)
A relaxed structure of TlSiRh2. Source: the Alexandria database, functional PBE.

```
data_TlSiRh2
_cell_length_a 3.7411
_cell_length_b 3.7411
_cell_length_c 9.2896
_cell_angle_alpha 90.00
_cell_angle_beta 90.00
_cell_angle_gamma 90.00
_symmetry_space_group_name_H-M 'I -4 m 2'
_symmetry_Int_Tables_number 119
_symmetry_space_group_name_Hall 'I -4 -2'
loop_
_atom_site_label
_atom_site_type_symbol
_atom_site_fract_x
_atom_site_fract_y
_atom_site_fract_z
_atom_site_occupancy
Tl1 Tl 0.0000 0.0000 0.0000 1
Si1 Si 0.0000 0.5000 0.2500 1
Rh1 Rh 0.0000 0.0000 0.5000 1
Rh2 Rh 0.0000 0.5000 0.7500 1
```

***

(11)
A relaxed structure of Tl2SiRh. Source: the Alexandria database, functional PBE.

```
data_Tl2SiRh
_cell_length_a 5.9414
_cell_length_b 8.8567
_cell_length_c 3.4426
_cell_angle_alpha 90.00
_cell_angle_beta 112.39
_cell_angle_gamma 90.00
_symmetry_space_group_name_H-M 'C 1 2/m 1'
_symmetry_Int_Tables_number 12
_symmetry_space_group_name_Hall '-C 2y'
loop_
_atom_site_label
_atom_site_type_symbol
_atom_site_fract_x
_atom_site_fract_y
_atom_site_fract_z
_atom_site_occupancy
Tl1 Tl 0.2500 0.2500 0.0000 1
Si1 Si 0.0000 0.0000 0.5000 1
Rh1 Rh 0.0000 0.5000 0.5000 1
```

***

(12)
A relaxed structure of TlSi4Rh. Source: the Alexandria database, functional PBE.

```
data_TlSi4Rh
_cell_length_a 7.4022
_cell_length_b 7.4022
_cell_length_c 7.4022
_cell_angle_alpha 90.00
_cell_angle_beta 90.00
_cell_angle_gamma 90.00
_symmetry_space_group_name_H-M 'F -4 3 m'
_symmetry_Int_Tables_number 216
_symmetry_space_group_name_Hall 'F -4 2 3'
loop_
_atom_site_label
_atom_site_type_symbol
_atom_site_fract_x
_atom_site_fract_y
_atom_site_fract_z
_atom_site_occupancy
Tl1 Tl 0.0000 0.0000 0.0000 1
Si1 Si 0.1243 0.1243 0.3757 1
Rh1 Rh 0.2500 0.2500 0.7500 1
```

***

(13)
# TlSi2Rh, optimized geometry, DFT PBE
# energy above the most stable polymorph in this dataset	519	meV/atom
data_TlSi2Rh
_cell_length_a 3.8272
_cell_length_b 3.8272
_cell_length_c 4.8080
_cell_angle_alpha 90.00
_cell_angle_beta 90.00
_cell_angle_gamma 90.00
_symmetry_space_group_name_H-M 'P 4/m m m'
_symmetry_Int_Tables_number 123
_symmetry_space_group_name_Hall '-P 4 2'
loop_
_atom_site_label
_atom_site_type_symbol
_atom_site_fract_x
_atom_site_fract_y
_atom_site_fract_z
_atom_site_occupancy
Tl1 Tl 0.0000 0.0000 0.0000 1
Si1 Si 0.0000 0.5000 0.5000 1
Rh1 Rh 0.5000 0.5000 0.0000 1

***

(14)
A relaxed structure of Tl2SiRh. Source: the Alexandria database, functional PBE.

```
data_Tl2SiRh
_cell_length_a 9.6718
_cell_length_b 3.7943
_cell_length_c 5.0142
_cell_angle_alpha 90.00
_cell_angle_beta 117.05
_cell_angle_gamma 90.00
_symmetry_space_group_name_H-M 'C 1 2/m 1'
_symmetry_Int_Tables_number 12
_symmetry_space_group_name_Hall '-C 2y'
loop_
_atom_site_label
_atom_site_type_symbol
_atom_site_fract_x
_atom_site_fract_y
_atom_site_fract_z
_atom_site_occupancy
Tl1 Tl 0.2438 0.0000 0.2425 1
Si1 Si 0.0000 0.0000 0.5000 1
Rh1 Rh 0.0000 0.5000 0.0000 1
```

***

(15)
# TlSi2Rh, optimized geometry, DFT PBE
# energy above the most stable polymorph in this dataset	515	meV/atom
data_TlSi2Rh
_cell_length_a 4.2979
_cell_length_b 4.2979
_cell_length_c 7.5235
_cell_angle_alpha 90.00
_cell_angle_beta 90.00
_cell_angle_gamma 90.00
_symmetry_space_group_name_H-M 'I 4/m m m'
_symmetry_Int_Tables_number 139
_symmetry_space_group_name_Hall '-I 4 2'
loop_
_atom_site_label
_atom_site_type_symbol
_atom_site_fract_x
_atom_site_fract_y
_atom_site_fract_z
_atom_site_occupancy
Tl1 Tl 0.0000 0.0000 0.0000 1
Si1 Si 0.0000 0.5000 0.2500 1
Rh1 Rh 0.0000 0.0000 0.5000 1

***

(16)
A relaxed structure of Tm2TlSi2Rh5. Source: the Alexandria database, functional PBE.

```
data_Tm2TlSi2Rh5
_cell_length_a 9.7729
_cell_length_b 9.7729
_cell_length_c 3.5315
_cell_angle_alpha 90.00
_cell_angle_beta 90.00
_cell_angle_gamma 90.00
_symmetry_space_group_name_H-M 'P 4/m b m'
_symmetry_Int_Tables_number 127
_symmetry_space_group_name_Hall '-P 4 2ab'
loop_
_atom_site_label
_atom_site_type_symbol
_atom_site_fract_x
_atom_site_fract_y
_atom_site_fract_z
_atom_site_occupancy
Tm1 Tm 0.1753 0.3247 0.0000 1
Tl1 Tl 0.0000 0.0000 0.0000 1
Si1 Si 0.1218 0.6218 0.0000 1
Rh1 Rh 0.0000 0.5000 0.5000 1
Rh2 Rh 0.0706 0.7814 0.5000 1
```

***

(17)
A relaxed structure of Tl2SiRhW. Source: the Alexandria database, functional PBE.

```
data_Tl2SiRhW
_cell_length_a 5.2506
_cell_length_b 5.2506
_cell_length_c 4.4959
_cell_angle_alpha 90.00
_cell_angle_beta 90.00
_cell_angle_gamma 90.00
_symmetry_space_group_name_H-M 'P 4/m m m'
_symmetry_Int_Tables_number 123
_symmetry_space_group_name_Hall '-P 4 2'
loop_
_atom_site_label
_atom_site_type_symbol
_atom_site_fract_x
_atom_site_fract_y
_atom_site_fract_z
_atom_site_occupancy
Tl1 Tl 0.0000 0.5000 0.0000 1
Si1 Si 0.0000 0.0000 0.5000 1
Rh1 Rh 0.0000 0.0000 0.0000 1
W1 W 0.5000 0.5000 0.5000 1
```

***

(18)
A relaxed structure of TmSi2Rh. Source: the Alexandria database, functional PBE.

```
data_TmSi2Rh
_cell_length_a 5.8016
_cell_length_b 10.0766
_cell_length_c 5.5654
_cell_angle_alpha 90.00
_cell_angle_beta 120.78
_cell_angle_gamma 90.00
_symmetry_space_group_name_H-M 'C 1 2/c 1'
_symmetry_Int_Tables_number 15
_symmetry_space_group_name_Hall '-C 2yc'
loop_
_atom_site_label
_atom_site_type_symbol
_atom_site_fract_x
_atom_site_fract_y
_atom_site_fract_z
_atom_site_occupancy
Tm1 Tm 0.0000 0.1228 0.2500 1
Si1 Si 0.0943 0.3940 0.0917 1
Rh1 Rh 0.0000 0.2186 0.7500 1
```

***

(19)
A relaxed structure of TmSi2Rh. Source: the Alexandria database, functional PBE.

```
data_TmSi2Rh
_cell_length_a 4.0636
_cell_length_b 4.0636
_cell_length_c 14.4362
_cell_angle_alpha 90.00
_cell_angle_beta 90.00
_cell_angle_gamma 120.00
_symmetry_space_group_name_H-M 'R -3 m'
_symmetry_Int_Tables_number 166
_symmetry_space_group_name_Hall '-R 3 2"'
loop_
_atom_site_label
_atom_site_type_symbol
_atom_site_fract_x
_atom_site_fract_y
_atom_site_fract_z
_atom_site_occupancy
Tm1 Tm 0.0000 0.0000 0.0000 1
Si1 Si 0.0000 0.0000 0.2137 1
Rh1 Rh 0.0000 0.0000 0.5000 1
```

***

(20)
A relaxed structure of TmSi2Rh2. Source: the Alexandria database, functional PBE.

```
data_TmSi2Rh2
_cell_length_a 4.0442
_cell_length_b 4.0442
_cell_length_c 9.9208
_cell_angle_alpha 90.00
_cell_angle_beta 90.00
_cell_angle_gamma 90.00
_symmetry_space_group_name_H-M 'I 4/m m m'
_symmetry_Int_Tables_number 139
_symmetry_space_group_name_Hall '-I 4 2'
loop_
_atom_site_label
_atom_site_type_symbol
_atom_site_fract_x
_atom_site_fract_y
_atom_site_fract_z
_atom_site_occupancy
Tm1 Tm 0.0000 0.0000 0.0000 1
Si1 Si 0.0000 0.0000 0.3796 1
Rh1 Rh 0.0000 0.5000 0.2500 1
```

***

| no. | ΔE_f (raw) (meV per atom) | M_tot (μB per formula unit) | DOS at the Fermi energy (states/eV/f.u.) |
| --- | --- | --- | --- |
| 1 | 453 | 0.00 | 2.7 |
| 2 | -3 | 0.00 | 1.6 |
| 3 | 20 | 0.00 | 2.2 |
| 4 | -326 | 0.00 | 1.6 |
| 5 | 495 | 0.00 | 1.9 |
| 6 | 149 | 0.00 | 3.5 |
| 7 | 335 | 0.00 | 2.6 |
| 8 | 341 | 0.00 | 8.9 |
| 9 | -381 | 0.00 | 1.3 |
| 10 | 95 | 0.00 | 4.6 |
| 11 | 508 | 0.00 | 2.0 |
| 12 | 549 | 0.00 | 4.1 |
| 13 | 434 | 0.00 | 2.5 |
| 14 | 460 | 0.00 | 2.4 |
| 15 | 429 | 0.00 | 2.1 |
| 16 | -893 | 0.00 | 3.6 |
| 17 | 1236 | 4.15 | 4.1 |
| 18 | -913 | 0.00 | 1.1 |
| 19 | -864 | 0.00 | 1.0 |
| 20 | -1111 | 0.00 | 3.1 |